The following is a GGA-PBE calculation of a relaxed Si2NiPb crystal, from Alexandria.

abc: 3.772 3.770 4.997
angles: 90.00 90.00 90.00
Atoms (fractional coordinates):
Si (0.500, 0.500, 0.000)
Si (0.000, 0.000, 0.000)
Ni (0.500, 0.000, 0.500)
Pb (0.000, 0.500, 0.500)

SG = P4/mmm (123)
calculated volume = 17.76 A^3/atom
total energy = -4.5585 eV per atom